## Be2AlCu (SCAN)

Data for a PBEsol-optimized structure of Be2AlCu.

For the calculated density, the calculation gives 3663 kg/m³. The formation energy is 0.444 eV per atom.

The space group is I-42d (No. 122) and the conventional cell measures 6.5093, 6.5093 and 4.6450 Å, with angles of 90.00, 90.00 and 90.00 degrees. The inequivalent atoms are Be at (0.2119, 0.7500, 0.1250), Al at (0.0000, 0.0000, 0.5000) and Cu at (0.0000, 0.0000, 0.0000).

## LaZrNO2 (SCAN)

Data for a PBEsol-optimized structure of LaZrNO2.

For the calculated density, the calculation gives 6450 kg/m³. Its formation energy without anion corrections is -2.91 eV/atom.

The space group is P4/mmm (No. 123) and the conventional cell measures 4.0706, 4.0706 and 4.2907 Å, with angles of 90.00, 90.00 and 90.00 degrees. The inequivalent atoms are La at (0.0000, 0.0000, 0.0000), Zr at (0.5000, 0.5000, 0.5000), N at (0.5000, 0.5000, 0.0000) and O at (0.0000, 0.5000, 0.5000).

## BaRhW2 (SCAN)

Data for a PBEsol-optimized structure of BaRhW2.

For the calculated density, the calculation gives 13573 kg/m³. Its excess energy over the best structure of this formula in the dataset is 684 meV per atom. The formation energy is 1.329 eV per atom.

The space group is F-43m (No. 216) and the conventional cell measures 6.6756, 6.6756 and 6.6756 Å, with angles of 90.00, 90.00 and 90.00 degrees. The inequivalent atoms are Ba at (0.0000, 0.0000, 0.0000), Rh at (0.2500, 0.2500, 0.7500), W at (0.0000, 0.0000, 0.5000) and W at (0.2500, 0.2500, 0.2500).

## FeNiW (SCAN)

Data for a PBEsol-optimized structure of FeNiW.

For the calculated density, the calculation gives 11601 kg/m³. Its excess energy over the best structure of this formula in the dataset is 162 meV per atom. The formation energy is 0.784 eV per atom.

The space group is F-43m (No. 216) and the conventional cell measures 5.5487, 5.5487 and 5.5487 Å, with angles of 90.00, 90.00 and 90.00 degrees. The inequivalent atoms are Fe at (0.0000, 0.0000, 0.0000), Ni at (0.0000, 0.0000, 0.5000) and W at (0.2500, 0.2500, 0.2500).

## AlAg5 (SCAN)

Data for a PBEsol-optimized structure of AlAg5.

For the calculated density, the calculation gives 9608 kg/m³. Its excess energy over the best structure of this formula in the dataset is 20 meV per atom. The formation energy is -0.048 eV per atom.

The space group is P4/mmm (No. 123) and the conventional cell measures 2.9080, 2.9080 and 11.5733 Å, with angles of 90.00, 90.00 and 90.00 degrees. The inequivalent atoms are Al at (0.0000, 0.0000, 0.0000), Ag at (0.0000, 0.0000, 0.3297), Ag at (0.5000, 0.5000, 0.1553) and Ag at (0.5000, 0.5000, 0.5000).

## KZr4Al (SCAN)

Data for a PBEsol-optimized structure of KZr4Al.

For the calculated density, the calculation gives 4994 kg/m³. The formation energy is 0.675 eV per atom.

The space group is F-43m (No. 216) and the conventional cell measures 8.3070, 8.3070 and 8.3070 Å, with angles of 90.00, 90.00 and 90.00 degrees. The inequivalent atoms are K at (0.0000, 0.0000, 0.0000), Zr at (0.1232, 0.1232, 0.3768) and Al at (0.2500, 0.2500, 0.7500).

## Li2SbTe (SCAN)

Data for a PBEsol-optimized structure of Li2SbTe.

For the calculated density, the calculation gives 4620 kg/m³. Its excess energy over the best structure of this formula in the dataset is 351 meV per atom. Its formation energy without anion corrections is -0.19 eV/atom.

The space group is F-43m (No. 216) and the conventional cell measures 7.2333, 7.2333 and 7.2333 Å, with angles of 90.00, 90.00 and 90.00 degrees. The inequivalent atoms are Li at (0.0000, 0.0000, 0.0000), Li at (0.2500, 0.2500, 0.2500), Sb at (0.2500, 0.2500, 0.7500) and Te at (0.0000, 0.0000, 0.5000).

## Tl2CuP (SCAN)

Data for a PBEsol-optimized structure of Tl2CuP.

For the calculated density, the calculation gives 9930 kg/m³. Its excess energy over the best structure of this formula in the dataset is 416 meV per atom. The formation energy is 0.379 eV per atom.

The space group is R-3m (No. 166, hexagonal axes) and the conventional cell measures 3.9477, 3.9477 and 18.7080 Å, with angles of 90.00, 90.00 and 120.00 degrees. The inequivalent atoms are Tl at (0.0000, 0.0000, 0.2485), Cu at (0.0000, 0.0000, 0.5000) and P at (0.0000, 0.0000, 0.0000).

## ZnCoIr2 (SCAN)

Data for a PBEsol-optimized structure of ZnCoIr2.

For the calculated density, the calculation gives 16120 kg/m³. The formation energy is -0.073 eV per atom.

The space group is R-3m (No. 166, hexagonal axes) and the conventional cell measures 2.6887, 2.6887 and 25.1146 Å, with angles of 90.00, 90.00 and 120.00 degrees. The inequivalent atoms are Zn at (0.0000, 0.0000, 0.0000), Co at (0.0000, 0.0000, 0.5000) and Ir at (0.0000, 0.0000, 0.2472).

## La2ZnPtPb (SCAN)

Data for a PBEsol-optimized structure of La2ZnPtPb.

For the calculated density, the calculation gives 8751 kg/m³. The formation energy is -0.370 eV per atom.

The space group is P4/mmm (No. 123) and the conventional cell measures 5.5414, 5.5414 and 4.6066 Å, with angles of 90.00, 90.00 and 90.00 degrees. The inequivalent atoms are La at (0.0000, 0.5000, 0.0000), Zn at (0.0000, 0.0000, 0.0000), Pt at (0.0000, 0.0000, 0.5000) and Pb at (0.5000, 0.5000, 0.5000).

## Sr3TePb (SCAN)

Data for a PBEsol-optimized structure of Sr3TePb.

For the calculated density, the calculation gives 4468 kg/m³. Its formation energy without anion corrections is -0.76 eV/atom.

The space group is Pm-3m (No. 221) and the conventional cell measures 6.0559, 6.0559 and 6.0559 Å, with angles of 90.00, 90.00 and 90.00 degrees. The inequivalent atoms are Sr at (0.0000, 0.0000, 0.5000), Te at (0.0000, 0.0000, 0.0000) and Pb at (0.5000, 0.5000, 0.5000).

## RbGe3Ru (SCAN)

Data for a PBEsol-optimized structure of RbGe3Ru.

For the calculated density, the calculation gives 4755 kg/m³. The formation energy is 2.587 eV per atom.

The space group is Pm-3m (No. 221) and the conventional cell measures 5.2077, 5.2077 and 5.2077 Å, with angles of 90.00, 90.00 and 90.00 degrees. The inequivalent atoms are Rb at (0.0000, 0.0000, 0.0000), Ge at (0.0000, 0.0000, 0.5000) and Ru at (0.5000, 0.5000, 0.5000).